1.
Density functional theory data (GGA-PBE) for a relaxed structure of InNi2W.

The space group is F-43m (No. 216) and the conventional cell measures 6.171, 6.171 and 6.171 Å, with angles of 90.00, 90.00 and 90.00 degrees. The asymmetric unit holds In at (0.000, 0.000, 0.000), Ni at (0.000, 0.000, 0.500), Ni at (0.250, 0.250, 0.750) and W at (0.250, 0.250, 0.250).

2.
Density functional theory data (GGA-PBE) for a relaxed structure of Ba2CoPt.

The space group is I-4m2 (No. 119) and the conventional cell measures 4.514, 4.514 and 11.416 Å, with angles of 90.00, 90.00 and 90.00 degrees. The asymmetric unit holds Ba at (0.000, 0.000, 0.000), Ba at (0.000, 0.500, 0.250), Co at (0.000, 0.500, 0.750) and Pt at (0.000, 0.000, 0.500).

3.
Density functional theory data (GGA-PBE) for a relaxed structure of LaSmAu.

The space group is Amm2 (No. 38) and the conventional cell measures 5.043, 12.495 and 8.545 Å, with angles of 90.00, 90.00 and 90.00 degrees. The asymmetric unit holds La at (0.000, 0.000, 0.000), La at (0.000, 0.193, 0.605), Sm at (0.500, 0.000, 0.684), Sm at (0.500, 0.137, 0.292), Au at (0.000, 0.000, 0.375) and Au at (0.500, 0.159, 0.946).

4.
Density functional theory data (GGA-PBE) for a relaxed structure of TbAgS2.

The space group is R-3m (No. 166, hexagonal axes) and the conventional cell measures 4.1132, 4.1132 and 22.6463 Å, with angles of 90.00, 90.00 and 120.00 degrees. The asymmetric unit holds Tb at (0.0000, 0.0000, 0.0000), Ag at (0.0000, 0.0000, 0.5000) and S at (0.0000, 0.0000, 0.3957).

The calculation puts the energy relative to the elements, uncorrected at -1.31 eV/atom.

Summary of total magnetic moment in μB per atom
0.000; 0.323; 0.000; 0.000
(order as listed above)
Summary of DOS at the Fermi energy in states/eV/cell
13.7; 7.1; 17.3; 0.0
(order as listed above)
Summary of total energy in eV per atom
-6.36; -4.04; -4.85; -5.24
(order as listed above)